Record 1
ZrTiIn PBE relaxed; E_form = -0.0371 eV per atom
1.0
-5.071 5.071 2.503
5.071 -5.071 2.503
5.071 5.071 -2.503
Zr Ti In
4 4 4
Cartesian
1.775 1.775 0.000
3.295 -3.295 2.503
-3.295 3.295 2.503
3.295 3.295 2.503
3.896 0.000 0.000
6.245 0.000 0.000
0.000 3.896 0.000
0.000 6.245 0.000
5.071 2.761 0.000
2.761 5.071 0.000
2.309 0.000 2.503
0.000 2.309 2.503

Record 2
Sr5Eu3Br12 PBE relaxed; formation energy without anion corrections = -1.6624 eV/atom
1.0
-9.486 9.486 9.486
9.486 -9.486 9.486
9.486 9.486 -9.486
Sr Eu Br
20 12 48
Cartesian
0.000 0.000 0.000
4.743 4.743 -4.743
4.743 -4.743 4.743
9.486 0.000 0.000
14.229 2.371 0.000
9.486 -4.743 7.114
7.114 9.486 -4.743
7.114 0.000 4.743
4.743 7.114 0.000
9.486 4.743 2.371
-4.743 4.743 4.743
0.000 9.486 0.000
0.000 0.000 9.486
4.743 4.743 4.743
0.000 4.743 7.114
4.743 2.371 9.486
2.371 9.486 4.743
2.371 0.000 14.229
0.000 14.229 2.371
-4.743 7.114 9.486
4.743 2.371 0.000
9.486 4.743 -2.371
2.371 0.000 4.743
11.857 0.000 4.743
0.000 4.743 2.371
4.743 -2.371 9.486
4.743 11.857 0.000
9.486 4.743 7.114
-2.371 9.486 4.743
7.114 9.486 4.743
0.000 4.743 11.857
4.743 7.114 9.486
3.005 -0.033 0.846
11.224 5.589 -4.776
12.490 0.033 0.846
11.224 -3.897 4.776
9.453 -0.846 3.005
14.262 -1.738 3.897
0.846 3.005 -0.033
13.383 4.710 -1.738
5.589 4.776 -1.738
8.640 3.005 0.033
-0.033 0.846 3.005
4.776 -1.738 5.589
9.453 8.640 -3.005
4.776 1.738 3.897
5.589 -4.776 11.224
8.640 -3.005 9.453
3.897 4.776 1.738
10.331 6.481 0.033
4.776 11.224 -3.897
9.453 0.846 6.481
3.005 9.453 -0.846
11.224 3.897 4.710
1.738 3.897 4.776
3.005 0.033 8.640
6.481 9.453 0.846
7.748 5.589 4.710
-1.738 5.589 4.776
6.481 0.033 10.331
0.033 8.640 3.005
4.710 -1.738 13.383
-0.846 3.005 9.453
5.589 4.710 7.748
0.846 12.490 0.033
3.897 14.262 -1.738
4.710 7.748 5.589
0.033 0.846 12.490
4.710 11.224 3.897
9.519 8.640 6.481
0.846 6.481 9.453
3.897 4.710 11.224
-3.897 4.776 11.224
8.640 6.481 9.519
-4.776 11.224 5.589
0.033 10.331 6.481
-1.738 13.383 4.710
-3.005 9.453 8.640
-1.738 3.897 14.262
6.481 9.519 8.640

Record 3
Rb2MgCd12Au3 PBE relaxed; E_form = 0.0566 eV per atom
1.0
4.939 2.851 7.068
-4.939 2.851 7.068
0.000 -5.703 7.068
Rb Mg Cd Au
2 1 12 3
Cartesian
0.000 0.000 2.033
0.000 0.000 19.171
0.000 0.000 10.602
-2.386 -1.377 9.890
0.000 -1.887 5.868
-1.634 0.943 5.868
0.000 -2.755 11.314
-2.386 1.377 11.314
1.634 0.943 5.868
-1.634 -0.943 15.336
2.386 -1.377 9.890
0.000 2.755 9.890
1.634 -0.943 15.336
0.000 1.887 15.336
2.386 1.377 11.314
-2.469 -1.426 7.068
-2.469 1.426 14.136
0.000 2.851 7.068

Record 4
LiYMgIn2 PBE relaxed; E_form = 0.6084 eV per atom
1.0
5.847 0.000 0.000
0.000 5.847 0.000
0.000 0.000 5.992
Li Y Mg In
1 1 1 2
Cartesian
0.000 0.000 0.000
2.924 2.924 2.996
2.924 2.924 0.000
0.000 2.924 2.996
2.924 0.000 2.996

Record 5
ThFe2Si PBE relaxed; formation energy without anion corrections = -0.4117 eV/atom
1.0
5.077 0.000 0.000
0.000 3.965 0.000
0.000 0.000 6.777
Th Fe Si
2 4 2
Cartesian
1.269 0.000 1.228
3.808 0.000 5.549
0.000 1.982 3.388
1.269 0.000 4.093
2.538 1.982 3.388
3.808 0.000 2.683
1.269 1.982 5.457
3.808 1.982 1.320

Record 6
TeRhF PBE relaxed; formation energy without anion corrections = -0.9409 eV/atom
1.0
3.679 0.000 0.000
0.000 5.098 0.000
-1.618 0.000 5.862
Te Rh F
2 2 2
Cartesian
-0.248 1.275 1.765
2.309 3.824 4.096
0.486 3.824 2.338
1.575 1.275 3.524
-0.167 1.275 4.944
2.228 3.824 0.918

Record 7
Cr4Ir3 PBE relaxed; E_form = 0.1246 eV per atom
1.0
5.116 0.000 0.000
-2.558 4.431 0.000
0.000 0.000 4.409
Cr Ir
4 3
Cartesian
0.000 0.000 0.985
0.000 0.000 3.424
0.000 2.954 0.000
2.558 1.477 0.000
-1.279 2.215 2.205
2.558 0.000 2.205
1.279 2.215 2.205

Record 8
Sr2CdBr PBE relaxed; formation energy without anion corrections = -0.8309 eV/atom
1.0
2.190 1.264 8.961
-2.190 1.264 8.961
0.000 -2.528 8.961
Sr Cd Br
2 1 1
Cartesian
0.000 0.000 0.000
0.000 0.000 4.661
0.000 0.000 15.777
0.000 0.000 11.217

Record 9
Nb2GaSi PBE relaxed; formation energy without anion corrections = -0.4600 eV/atom
1.0
5.198 0.000 0.000
0.000 3.714 0.000
-2.553 0.000 6.733
Nb Ga Si
4 2 2
Cartesian
-0.064 0.928 2.909
-1.219 0.928 6.199
3.863 2.785 0.534
2.709 2.785 3.825
1.163 2.785 1.400
1.482 0.928 5.334
-0.033 2.785 4.778
2.678 0.928 1.955

Record 10
Sm2OsI PBE relaxed; formation energy without anion corrections = -0.4806 eV/atom
1.0
2.081 1.201 8.009
-2.081 1.201 8.009
0.000 -2.403 8.009
Sm Os I
2 1 1
Cartesian
0.000 0.000 5.479
0.000 0.000 18.549
0.000 0.000 12.014
0.000 0.000 0.000

Record 11
CoAs2Ru PBE relaxed; E_form = -0.1070 eV per atom
1.0
4.611 0.000 0.000
0.000 1.609 4.259
0.000 -1.609 4.259
Co As Ru
1 2 1
Cartesian
0.000 0.000 0.000
0.000 0.000 2.568
2.305 0.000 1.003
2.305 0.000 3.529

Record 12
TlIn2Rh PBE relaxed; E_form = 0.1563 eV per atom
1.0
0.000 3.533 3.533
3.533 0.000 3.533
3.533 3.533 0.000
Tl In Rh
1 2 1
Cartesian
0.000 0.000 0.000
1.767 1.767 1.767
5.300 5.300 5.300
3.533 3.533 3.533

Record 13
K3Ac2ZrS6 PBE relaxed; formation energy without anion corrections = -1.6986 eV/atom
1.0
3.653 -6.324 0.000
3.653 6.324 0.000
-2.453 0.000 7.427
K Ac Zr S
3 2 1 6
Cartesian
0.000 0.000 0.000
3.653 2.120 0.000
3.653 -2.120 0.000
2.427 4.214 3.713
2.427 -4.214 3.713
2.427 0.000 3.713
1.324 1.907 2.166
0.228 0.000 5.246
1.324 -1.907 2.166
3.530 1.907 5.261
4.625 0.000 2.181
3.530 -1.907 5.261

Record 14
Ba3Sn3Pd2 PBE relaxed; E_form = -0.6699 eV per atom
1.0
2.348 -6.172 0.000
2.348 6.172 0.000
0.000 0.000 17.522
Ba Sn Pd
6 6 4
Cartesian
2.348 5.675 10.640
2.348 5.675 15.643
2.348 2.062 13.141
2.348 -2.062 4.380
2.348 -5.675 1.879
2.348 -5.675 6.882
2.348 2.235 9.463
2.348 2.235 16.819
2.348 1.608 4.380
2.348 -1.608 13.141
2.348 -2.235 0.702
2.348 -2.235 8.058
2.348 3.001 1.950
2.348 3.001 6.811
2.348 -3.001 10.711
2.348 -3.001 15.571

Record 15
CaIrRh2 PBE relaxed; E_form = 0.0422 eV per atom
1.0
-2.010 2.010 4.057
2.010 -2.010 4.057
2.010 2.010 -4.057
Ca Ir Rh
1 1 2
Cartesian
0.000 0.000 0.000
2.010 0.000 2.029
0.000 0.000 4.057
0.000 2.010 2.029

Record 16
Li3In3HgBi2 PBE relaxed; E_form = -0.1819 eV per atom
1.0
8.809 0.000 0.000
-4.404 7.629 0.000
0.000 0.000 3.371
Li In Hg Bi
3 3 1 2
Cartesian
-1.591 2.756 0.000
3.182 0.000 0.000
2.813 4.873 0.000
-3.141 5.441 1.685
1.263 2.188 1.685
6.282 0.000 1.685
0.000 0.000 0.000
0.000 5.086 1.685
4.404 2.543 1.685

Record 17
KRbHgF4 PBE relaxed; formation energy without anion corrections = -2.1849 eV/atom
1.0
-2.328 2.328 6.824
2.328 -2.328 6.824
2.328 2.328 -6.824
K Rb Hg F
1 1 1 4
Cartesian
0.000 0.000 0.000
0.000 0.000 3.846
0.000 0.000 8.754
2.328 0.000 1.853
0.000 0.000 6.490
0.000 2.328 1.853
0.000 0.000 11.038

Record 18
MnAsPb PBE relaxed; E_form = 0.0723 eV per atom
1.0
-1.676 1.676 5.751
1.676 -1.676 5.751
1.676 1.676 -5.751
Mn As Pb
1 1 1
Cartesian
0.000 0.000 0.000
0.000 0.000 6.647
0.000 0.000 3.540

Record 19
NdSiPd PBE relaxed; formation energy without anion corrections = -0.8881 eV/atom
1.0
4.311 0.000 0.000
-2.156 3.734 0.000
0.000 0.000 3.983
Nd Si Pd
1 1 1
Cartesian
0.000 0.000 0.000
2.156 1.245 1.992
0.000 2.489 1.992

Record 20
Pm3SmCu2 PBE relaxed; E_form = 0.0651 eV per atom
1.0
-3.466 6.871 3.688
3.466 -6.871 3.688
3.466 6.871 -3.688
Pm Sm Cu
6 2 4
Cartesian
3.466 -3.215 1.844
0.000 0.000 1.844
3.466 3.215 1.844
0.000 3.657 1.844
0.000 0.000 5.532
0.000 10.086 1.844
3.466 0.000 0.000
0.000 6.871 0.000
1.416 1.935 0.000
1.416 -1.935 3.688
2.050 8.806 0.000
2.050 4.936 3.688

Uncorrected energy per entry: -6.431 -4.628 -1.296 -2.482 -7.854 -5.062 -9.172 -2.319 -7.607 -6.035 -6.527 -3.642 -5.434 -4.190 -6.349 -2.629 -3.592 -5.770 -6.016 -4.462 eV per atom
Magnetic moment per entry: 0.00 21.63 0.00 0.27 3.29 0.00 4.53 0.41 0.00 0.00 0.00 0.00 0.60 0.00 0.00 0.00 0.00 3.19 0.00 0.00 μB/f.u.